Record 1
The following is a DFT calculation (GGA-PBE) of an optimized crystal structure of KBCl6.

Values from the calculation:
Energy   -24.37 eV for the cell shown
Raw formation energy   -689 meV/atom
Total moment   0.09 Bohr magnetons per cell

a b c (Å): 4.280 6.712 8.880
angles (deg): 75.42 89.96 89.47
Element x y z (fractional)
K (0.000, 0.000, 0.000)
B (0.000, 0.000, 0.500)
Cl (0.004, 0.748, 0.573)
Cl (0.499, 0.349, 0.080)
Cl (0.500, 0.044, 0.726)
Cl (0.500, 0.956, 0.274)
Cl (0.501, 0.651, 0.920)
Cl (0.996, 0.252, 0.427)

---

Record 2
The following is a DFT calculation (GGA-PBE) of an optimized crystal structure of K2B4Cl.

Values from the calculation:
Energy   -17.16 eV for the cell shown
Raw formation energy   1942 meV/atom
Total moment   0.00 Bohr magnetons per cell

a b c (Å): 8.027 8.027 8.027
angles (deg): 145.95 145.95 48.93
Element x y z (fractional)
K (0.157, 0.157, 0.000)
K (0.843, 0.843, 0.000)
B (0.000, 0.500, 0.500)
B (0.378, 0.378, 0.000)
B (0.500, 0.000, 0.500)
B (0.622, 0.622, 0.000)
Cl (0.500, 0.500, 0.000)

---

Record 3
The following is a DFT calculation (GGA-PBE) of an optimized crystal structure of KB2Cl6.

Values from the calculation:
Energy   -67.42 eV for the cell shown
Raw formation energy   -909 meV/atom
Total moment   2.00 Bohr magnetons per cell

a b c (Å): 8.903 8.903 8.431
angles (deg): 115.97 115.97 74.87
Element x y z (fractional)
K (0.193, 0.807, 0.750)
K (0.807, 0.193, 0.250)
B (0.194, 0.352, 0.859)
B (0.352, 0.194, 0.359)
B (0.648, 0.806, 0.641)
B (0.806, 0.648, 0.141)
Cl (0.059, 0.188, 0.683)
Cl (0.108, 0.563, 0.890)
Cl (0.188, 0.059, 0.183)
Cl (0.309, 0.360, 0.553)
Cl (0.360, 0.309, 0.053)
Cl (0.437, 0.892, 0.610)
Cl (0.563, 0.108, 0.390)
Cl (0.640, 0.691, 0.947)
Cl (0.691, 0.640, 0.447)
Cl (0.812, 0.941, 0.817)
Cl (0.892, 0.437, 0.110)
Cl (0.941, 0.812, 0.317)

---

Record 4
The following is a DFT calculation (GGA-PBE) of an optimized crystal structure of KB2Cl8.

Values from the calculation:
Energy   -40.07 eV for the cell shown
Energy relative to the lowest polymorph listed for this composition   0.0000 eV/atom
Raw formation energy   -986 meV/atom
Total moment   1.20 Bohr magnetons per cell

a b c (Å): 8.070 8.070 6.543
angles (deg): 108.21 108.21 77.47
Element x y z (fractional)
K (0.000, 0.000, 0.000)
B (0.210, 0.210, 0.700)
B (0.790, 0.790, 0.300)
Cl (0.024, 0.721, 0.283)
Cl (0.236, 0.236, 0.443)
Cl (0.279, 0.976, 0.717)
Cl (0.347, 0.347, 0.951)
Cl (0.653, 0.653, 0.049)
Cl (0.721, 0.024, 0.283)
Cl (0.764, 0.764, 0.557)
Cl (0.976, 0.279, 0.717)

---

Record 5
The following is a DFT calculation (GGA-PBE) of an optimized crystal structure of K2BCl.

Values from the calculation:
Energy   -19.93 eV for the cell shown
Energy relative to the lowest polymorph listed for this composition   0.0000 eV/atom
Raw formation energy   188 meV/atom
Total moment   4.00 Bohr magnetons per cell

a b c (Å): 7.383 7.383 7.383
angles (deg): 113.29 113.29 102.08
Element x y z (fractional)
K (0.113, 0.625, 0.988)
K (0.375, 0.363, 0.488)
K (0.637, 0.125, 0.012)
K (0.875, 0.887, 0.512)
B (0.250, 0.750, 0.500)
B (0.500, 0.500, 0.000)
Cl (0.000, 0.000, 0.000)
Cl (0.750, 0.250, 0.500)

---

Record 6
The following is a DFT calculation (GGA-PBE) of an optimized crystal structure of KBCl4.

Values from the calculation:
Energy   -46.24 eV for the cell shown
Raw formation energy   -1326 meV/atom
Total moment   0.00 Bohr magnetons per cell

a b c (Å): 6.125 9.658 6.185
angles (deg): 90.00 97.75 90.00
Element x y z (fractional)
K (0.170, 0.250, 0.215)
K (0.830, 0.750, 0.785)
B (0.347, 0.750, 0.285)
B (0.653, 0.250, 0.715)
Cl (0.216, 0.594, 0.145)
Cl (0.216, 0.906, 0.145)
Cl (0.308, 0.750, 0.579)
Cl (0.351, 0.250, 0.733)
Cl (0.649, 0.750, 0.267)
Cl (0.692, 0.250, 0.421)
Cl (0.784, 0.094, 0.855)
Cl (0.784, 0.406, 0.855)

---

Record 7
The following is a DFT calculation (GGA-PBE) of an optimized crystal structure of K3B2Cl8.

Values from the calculation:
Energy   -46.85 eV for the cell shown
Raw formation energy   -1187 meV/atom
Total moment   0.31 Bohr magnetons per cell

a b c (Å): 12.758 12.758 12.758
angles (deg): 29.98 29.98 29.98
Element x y z (fractional)
K (0.000, 0.000, 0.000)
K (0.221, 0.221, 0.221)
K (0.779, 0.779, 0.779)
B (0.388, 0.388, 0.388)
B (0.612, 0.612, 0.612)
Cl (0.253, 0.253, 0.712)
Cl (0.253, 0.712, 0.253)
Cl (0.288, 0.747, 0.747)
Cl (0.337, 0.337, 0.337)
Cl (0.663, 0.663, 0.663)
Cl (0.712, 0.253, 0.253)
Cl (0.747, 0.288, 0.747)
Cl (0.747, 0.747, 0.288)

---

Record 8
The following is a DFT calculation (GGA-PBE) of an optimized crystal structure of K2BCl.

Values from the calculation:
Energy   -9.90 eV for the cell shown
Energy relative to the lowest polymorph listed for this composition   0.0163 eV/atom
Raw formation energy   204 meV/atom
Total moment   2.00 Bohr magnetons per cell

a b c (Å): 5.473 5.473 5.473
angles (deg): 60.00 60.00 60.00
Element x y z (fractional)
K (0.250, 0.250, 0.250)
K (0.750, 0.750, 0.750)
B (0.000, 0.000, 0.000)
Cl (0.500, 0.500, 0.500)

---

Record 9
The following is a DFT calculation (GGA-PBE) of an optimized crystal structure of K2BCl4.

Values from the calculation:
Energy   -23.39 eV for the cell shown
Raw formation energy   -1019 meV/atom
Total moment   0.00 Bohr magnetons per cell

a b c (Å): 7.473 7.473 7.473
angles (deg): 116.19 116.19 96.73
Element x y z (fractional)
K (0.250, 0.750, 0.500)
K (0.750, 0.250, 0.500)
B (0.000, 0.000, 0.000)
Cl (0.030, 0.755, 0.000)
Cl (0.245, 0.245, 0.275)
Cl (0.755, 0.030, 0.000)
Cl (0.970, 0.970, 0.725)

---

Record 10
The following is a DFT calculation (GGA-PBE) of an optimized crystal structure of K3BCl6.

Values from the calculation:
Energy   -72.62 eV for the cell shown
Raw formation energy   -1526 meV/atom
Total moment   0.13 Bohr magnetons per cell

a b c (Å): 9.999 9.999 7.955
angles (deg): 90.00 90.00 100.15
Element x y z (fractional)
K (0.063, 0.937, 0.500)
K (0.158, 0.378, 0.437)
K (0.378, 0.158, 0.937)
K (0.622, 0.842, 0.437)
K (0.842, 0.622, 0.937)
K (0.937, 0.063, 0.000)
B (0.303, 0.697, 0.735)
B (0.697, 0.303, 0.235)
Cl (0.120, 0.642, 0.669)
Cl (0.138, 0.192, 0.729)
Cl (0.192, 0.138, 0.229)
Cl (0.320, 0.680, 0.963)
Cl (0.358, 0.880, 0.669)
Cl (0.409, 0.591, 0.619)
Cl (0.591, 0.409, 0.119)
Cl (0.642, 0.120, 0.169)
Cl (0.680, 0.320, 0.463)
Cl (0.808, 0.862, 0.729)
Cl (0.862, 0.808, 0.229)
Cl (0.880, 0.358, 0.169)

---

Record 11
The following is a DFT calculation (GGA-PBE) of an optimized crystal structure of K2BMoCl.

Values from the calculation:
Energy   -14.48 eV for the cell shown
Raw formation energy   1414 meV/atom
Total moment   6.00 Bohr magnetons per cell

a b c (Å): 6.197 6.197 4.709
angles (deg): 90.00 90.00 90.00
Element x y z (fractional)
K (0.000, 0.500, 0.000)
K (0.500, 0.000, 0.000)
B (0.000, 0.000, 0.000)
Mo (0.500, 0.500, 0.500)
Cl (0.000, 0.000, 0.500)

---

Record 12
The following is a DFT calculation (GGA-PBE) of an optimized crystal structure of KNaB2Cl8.

Values from the calculation:
Energy   -45.85 eV for the cell shown
Raw formation energy   -1276 meV/atom
Total moment   0.00 Bohr magnetons per cell

a b c (Å): 9.930 9.930 9.930
angles (deg): 36.37 36.37 36.37
Element x y z (fractional)
K (0.000, 0.000, 0.000)
Na (0.500, 0.500, 0.500)
B (0.252, 0.252, 0.252)
B (0.748, 0.748, 0.748)
Cl (0.040, 0.797, 0.472)
Cl (0.203, 0.528, 0.960)
Cl (0.319, 0.319, 0.319)
Cl (0.472, 0.040, 0.797)
Cl (0.528, 0.960, 0.203)
Cl (0.681, 0.681, 0.681)
Cl (0.797, 0.472, 0.040)
Cl (0.960, 0.203, 0.528)